Density functional theory data (PBE+U) for an optimized crystal structure of KVPd2F.

```
data_KVPd2F
_chemical_formula_sum 'K1 V1 Pd2 F1'
_symmetry_space_group_name_H-M 'P 1'
_symmetry_Int_Tables_number 1
_symmetry_space_group_name_Hall 'P 1'
_cell_length_a 5.137
_cell_length_b 4.132
_cell_length_c 5.137
_cell_angle_alpha 90.00
_cell_angle_beta 90.00
_cell_angle_gamma 90.00
loop_
_atom_site_label
_atom_site_fract_x
_atom_site_fract_y
_atom_site_fract_z
F1 0.000 0.500 0.000
K1 0.500 0.500 0.500
V1 0.000 0.000 0.000
Pd1 0.500 0.000 0.000
Pd2 0.000 0.000 0.500
```

As for the space-group type: P4/mmm. As for the electronic total energy: -4.33 eV/atom.